# 1
Here is crystalline FeCuBr2 at its relaxed geometry from the Alexandria database. Energies are from PBE.

Output
Fermi-level density of states (states/eV per cell): 3.17
Offset from the most stable computed form (kJ/mol of formula units): 101
Uncorrected formation energy (kJ per mole of atoms): 32.28
ρ (Mg/m³): 5.22

a = 3.6435 Å, b = 3.6818 Å, c = 6.6176 Å
α = 90.00°, β = 90.00°, γ = 90.00°
Last column: nearest neighbours and their distance in Å.
Fractional positions:
Fe: 0.0000 0.0000 0.0000  4 Br 2.59
Cu: 0.0000 0.5000 0.5000  4 Br 2.59
Br: 0.5000 0.0000 0.5000  4 Cu 2.59
Br: 0.5000 0.5000 0.0000  4 Fe 2.59



# 2
Here is crystalline FeCuBr2 at its relaxed geometry from the Alexandria database. Energies are from PBE.

Output
Fermi-level density of states (states/eV per cell): 4.41
Offset from the most stable computed form (kJ/mol of formula units): 92
Uncorrected formation energy (kJ per mole of atoms): 30.12
ρ (Mg/m³): 4.89

a = 5.1369 Å, b = 5.1369 Å, c = 3.5945 Å
α = 90.29°, β = 90.29°, γ = 90.16°
Last column: nearest neighbours and their distance in Å.
Fractional positions:
Fe: 0.0000 0.0000 0.0000  4 Br 2.57
Cu: 0.5000 0.5000 0.0000  4 Br 2.57
Br: 0.0000 0.5000 0.0000  2 Cu 2.57, 2 Fe 2.57
Br: 0.5000 0.0000 0.0000  2 Cu 2.57, 2 Fe 2.57



# 3
Here is crystalline FeCu2Br at its relaxed geometry from the Alexandria database. Energies are from PBE.

Output
Fermi-level density of states (states/eV per cell): 3.29
Offset from the most stable computed form (kJ/mol of formula units): 45
Uncorrected formation energy (kJ per mole of atoms): 38.93
ρ (Mg/m³): 6.32

a = 6.4305 Å, b = 6.4305 Å, c = 6.4305 Å
α = 152.87°, β = 145.16°, γ = 44.70°
Last column: nearest neighbours and their distance in Å.
Fractional positions:
Fe: 0.0000 0.0000 0.0000  6 Cu 2.53-2.60, 2 Br 2.55
Cu: 0.4449 0.4449 0.0000  2 Cu 2.42, 4 Fe 2.53
Cu: 0.8216 0.3216 0.5000  2 Cu 2.42, 2 Fe 2.60
Br: 0.1728 0.6728 0.5000  2 Fe 2.55